[1]
KTlAs2: optimized geometry, PBE.

calculated total energy	-3.43	eV per atom
M_tot	0.0	μB/f.u.

Cell lengths 6.6724, 6.6724, 5.4094 Å; angles 71.78, 71.78, 32.72 degrees
Closest atoms and distances in Å follow each position.
Sites, in units of the cell vectors:
K1 0.5316 0.5316 0.4392  7 As 3.45-3.75, 2 Tl 3.67-3.80, 2 K 3.76
Tl1 0.7447 0.7447 0.7913  1 As 2.95
As1 0.9245 0.9245 0.0210  2 As 2.52
As2 0.2992 0.2992 0.2485  2 As 2.52



[2]
Ni2PtBr: optimized geometry, PBE.

formation energy (no corrections)	0.630	eV/atom
M_tot	1.7	μB/f.u.

Cell lengths 4.9119, 4.9119, 4.9119 Å; angles 134.53, 134.53, 66.26 degrees
Closest atoms and distances in Å follow each position.
Sites, in units of the cell vectors:
Br1 0.7500 0.2500 0.5000  8 Ni 2.68-2.80, 4 Pt 2.80
Ni1 0.0000 0.0000 0.0000  4 Pt 2.68, 4 Ni 2.80, 4 Br 2.80
Ni2 0.2500 0.7500 0.5000  4 Br 2.68, 4 Ni 2.80, 4 Pt 2.80
Pt1 0.5000 0.5000 0.0000  8 Ni 2.68-2.80, 4 Br 2.80



[3]
KNa2Tl: optimized geometry, PBE.

calculated total energy	-1.47	eV per atom
M_tot	0.0	μB/f.u.

Cell lengths 5.1081, 5.1081, 12.6495 Å; angles 78.35, 78.35, 90.00 degrees
Closest atoms and distances in Å follow each position.
Sites, in units of the cell vectors:
Na1 0.6679 0.1250 0.2500  2 Na 3.32, 2 Tl 3.45, 2 K 3.61
Na2 0.0821 0.6250 0.2500  2 Na 3.32, 2 Tl 3.45, 2 K 3.61
Na3 0.3750 0.3321 0.7500  2 Na 3.32, 2 Tl 3.45, 2 K 3.61
Na4 0.8750 0.9179 0.7500  2 Na 3.32, 2 Tl 3.45, 2 K 3.61
Tl1 0.0000 0.0000 0.0000  4 Na 3.45, 4 K 3.61
Tl2 0.7500 0.2500 0.5000  4 Na 3.45, 4 K 3.61
K1 0.5000 0.5000 0.0000  4 Tl 3.61, 4 Na 3.61
K2 0.2500 0.7500 0.5000  4 Tl 3.61, 4 Na 3.61



Number 1: density of states at the Fermi level 0.18 states/eV per atom. Number 2: density of states at the Fermi level 1.84 states/eV per atom. Number 3: density of states at the Fermi level 0.47 states/eV per atom.